[1]
This record from Alexandria via LeMat-Bulk describes LaTbAlHg after structural relaxation. The functional is PBE.

a = 3.665 Å, b = 3.665 Å, c = 7.930 Å
α = 90.00°, β = 90.00°, γ = 90.00°
Space group P4mm (No. 99)
One atom of each set of equivalent atoms:
La 0.000 0.000 0.000 (multiplicity 1)
Tb 0.000 0.000 0.475 (multiplicity 1)
Al 0.500 0.500 0.250 (multiplicity 1)
Hg 0.500 0.500 0.708 (multiplicity 1)

Properties
Total magnetization (Bohr magnetons per cell): 0.000
Formation energy from the elements (meV/atom): -441
Volume (Å³/cell): 107
Offset from the most stable computed form (eV per atom): 0.0000
Fermi-level density of states (states/eV/cell): 2.40

=====

[2]
This record from Alexandria via LeMat-Bulk describes LaThAlHg after structural relaxation. The functional is PBE.

a = 7.651 Å, b = 7.651 Å, c = 7.651 Å
α = 90.00°, β = 90.00°, γ = 90.00°
Space group F-43m (No. 216)
One atom of each set of equivalent atoms:
La 0.000 0.000 0.000 (multiplicity 4)
Th 0.000 0.000 0.500 (multiplicity 4)
Al 0.250 0.250 0.750 (multiplicity 4)
Hg 0.250 0.250 0.250 (multiplicity 4)

Properties
Total magnetization (Bohr magnetons per cell): 0.000
Formation energy from the elements (meV/atom): -271
Volume (Å³/cell): 448
Fermi-level density of states (states/eV/cell): 18.87

=====

[3]
This record from Alexandria via LeMat-Bulk describes La4AlTl2Hg after structural relaxation. The functional is PBE.

a = 5.5571 Å, b = 5.5571 Å, c = 27.2137 Å
α = 90.00°, β = 90.00°, γ = 120.00°
Space group R-3m (No. 166, hexagonal axes)
One atom of each set of equivalent atoms:
La 0.0000 0.0000 0.1220 (multiplicity 6)
La 0.0000 0.0000 0.3724 (multiplicity 6)
Al 0.0000 0.0000 0.0000 (multiplicity 3)
Tl 0.0000 0.0000 0.2470 (multiplicity 6)
Hg 0.0000 0.0000 0.5000 (multiplicity 3)

Properties
Total magnetization (Bohr magnetons per cell): 0.002
Formation energy from the elements (meV/atom): -408
Volume (Å³/cell): 728
Fermi-level density of states (states/eV/cell): 32.46

=====

[4]
This record from Alexandria via LeMat-Bulk describes La4AlTlHg2 after structural relaxation. The functional is PBE.

a = 5.5236 Å, b = 5.5236 Å, c = 27.1929 Å
α = 90.00°, β = 90.00°, γ = 120.00°
Space group R-3m (No. 166, hexagonal axes)
One atom of each set of equivalent atoms:
La 0.0000 0.0000 0.1211 (multiplicity 6)
La 0.0000 0.0000 0.3709 (multiplicity 6)
Al 0.0000 0.0000 0.0000 (multiplicity 3)
Tl 0.0000 0.0000 0.5000 (multiplicity 3)
Hg 0.0000 0.0000 0.2482 (multiplicity 6)

Properties
Total magnetization (Bohr magnetons per cell): 0.739
Formation energy from the elements (meV/atom): -432
Volume (Å³/cell): 719
Fermi-level density of states (states/eV/cell): 34.76

=====

Which formula does entry 3 have? La4AlTl2Hg

=====

Which of these has the lowest volume? LaTbAlHg

=====

Which value of total magnetization does entry 4 give? 0.739 Bohr magnetons per cell